# 1
A relaxed structure of MnIn2Pb. Source: Alexandria, functional PBE.

Summary:
DOS(E_F)	2.2	states/eV per cell
formation energy from the elements	192	meV/atom

Geometry as POSCAR:
```
MnIn2Pb
1.0
3.3025 0.0000 0.0000
0.0000 3.3025 0.0000
0.0000 0.0000 8.7312
Mn In Pb
1 2 1
Cartesian
0.0000 0.0000 0.0000 Mn
1.6512 1.6512 1.7347 In
1.6512 1.6512 6.9964 In
0.0000 0.0000 4.3656 Pb
```

# 2
A relaxed structure of Tb6DyHo12. Source: Alexandria, functional PBE.

Summary:
DOS(E_F)	31.0	states/eV per cell
formation energy from the elements	158	meV/atom
distance to the lowest polymorph of the same formula	0.0000	eV per atom

Geometry as POSCAR:
```
Tb6DyHo12
1.0
5.9064 3.4101 5.0253
-5.9064 3.4101 5.0253
0.0000 -6.8202 5.0253
Tb Dy Ho
6 1 12
Cartesian
-3.3542 -0.8084 7.7191 Tb
-0.9770 -3.3090 7.3568 Tb
-2.3772 2.5006 7.3568 Tb
2.3772 -2.5006 7.7191 Tb
0.9770 3.3090 7.7191 Tb
3.3542 0.8084 7.3568 Tb
0.0000 0.0000 7.5379 Dy
-5.2761 1.4758 6.2983 Ho
-3.9161 -3.8313 8.7776 Ho
-2.0331 0.1791 4.6518 Ho
1.3599 -5.3071 6.2983 Ho
0.8615 -1.8503 4.6518 Ho
1.1717 1.6712 4.6518 Ho
-1.1717 -1.6712 10.4241 Ho
-0.8615 1.8503 10.4241 Ho
-1.3600 5.3071 8.7776 Ho
2.0331 -0.1791 10.4241 Ho
3.9161 3.8313 6.2983 Ho
5.2760 -1.4758 8.7776 Ho
```

# 3
A relaxed structure of Hf2Mg. Source: Alexandria, functional PBE.

Summary:
DOS(E_F)	3.5	states/eV per cell
formation energy from the elements	41	meV/atom

Geometry as POSCAR:
```
Hf2Mg
1.0
5.5461 0.0000 0.0000
0.0000 3.2101 0.0000
-0.0222 0.0000 7.7037
Hf Mg
4 2
Cartesian
0.9147 0.0000 2.6563 Hf
1.8361 1.6051 5.0474 Hf
3.6877 1.6051 2.6563 Hf
4.6092 0.0000 5.0474 Hf
0.0000 1.6051 0.0000 Mg
2.7730 0.0000 0.0000 Mg
```

# 4
A relaxed structure of Pm2Ho3Pb4. Source: Alexandria, functional PBE.

Summary:
DOS(E_F)	9.5	states/eV per cell
formation energy from the elements	-433	meV/atom

Geometry as POSCAR:
```
Pm2Ho3Pb4
1.0
3.5628 -8.6322 0.0000
3.5628 8.6322 0.0000
0.0000 0.0000 9.0270
Pm Ho Pb
4 6 8
Cartesian
3.5628 6.7022 8.2191 Pm
3.5628 1.9300 3.7056 Pm
3.5628 -1.9300 5.3215 Pm
3.5628 -6.7022 0.8080 Pm
0.0000 0.0000 4.5135 Ho
1.7814 3.5604 6.7703 Ho
1.7814 -3.5604 2.2568 Ho
3.5628 0.0000 0.0000 Ho
5.3443 3.5604 6.7703 Ho
5.3443 -3.5604 2.2568 Ho
3.5628 5.4177 5.0109 Pb
1.7814 0.5232 6.7703 Pb
1.7814 -0.5232 2.2568 Pb
3.5628 3.2145 0.4974 Pb
3.5628 -3.2145 8.5296 Pb
5.3443 0.5232 6.7703 Pb
5.3443 -0.5232 2.2568 Pb
3.5628 -5.4177 4.0161 Pb
```